1.
Computed, not measured: a relaxed GeTeP3 crystal at the PBE level of DFT.

Unit cell a=4.7250 b=4.7250 c=4.7250 alpha=90.00 beta=90.00 gamma=90.00
With the nearest neighbours (Å) after each atom.
Element x y z (fractional)
P 0.0000 0.5000 0.0000  2 Ge 2.36
P 0.0000 0.0000 0.5000  2 Ge 2.36
P 0.5000 0.0000 0.0000  2 Ge 2.36
Ge 0.0000 0.0000 0.0000  6 P 2.36
Te 0.5000 0.5000 0.5000  12 P 3.34

Calculated values
Uncorrected energy (Ry/atom): -0.2860
Raw formation energy (meV/atom): 906
Energy relative to the lowest polymorph listed for this composition (meV/atom): 0

2.
Computed, not measured: a relaxed Ge2TeP crystal at the PBE level of DFT.

Unit cell a=6.8170 b=6.8170 c=6.5428 alpha=58.60 beta=58.60 gamma=90.00
With the nearest neighbours (Å) after each atom.
Element x y z (fractional)
P 0.5000 0.5000 0.0000  4 Ge 2.46
P 0.2500 0.7500 0.5000  4 Ge 2.46
Ge 0.5790 0.1250 0.2500  2 P 2.46
Ge 0.1710 0.6250 0.2500  2 P 2.46
Ge 0.3750 0.4210 0.7500  2 P 2.46
Ge 0.8750 0.8290 0.7500  2 P 2.46
Te 0.0000 0.0000 0.0000  4 Ge 2.86
Te 0.7500 0.2500 0.5000  4 Ge 2.86

Calculated values
Uncorrected energy (Ry/atom): -0.3127
Raw formation energy (meV/atom): 192
Energy relative to the lowest polymorph listed for this composition (meV/atom): 112

3.
Computed, not measured: a relaxed Ge3Te12P5 crystal at the PBE level of DFT.

Unit cell a=14.6279 b=14.6279 c=14.6279 alpha=109.47 beta=109.47 gamma=109.47
With the nearest neighbours (Å) after each atom.
Element x y z (fractional)
Ge 0.7500 0.3750 0.1250  8 Te 3.21-3.22
Ge 0.8750 0.7500 0.1250  8 Te 3.21-3.22
Ge 0.3750 0.7500 0.6250  8 Te 3.21-3.22
Ge 0.2500 0.1250 0.3750  8 Te 3.21-3.22
Ge 0.8750 0.1250 0.2500  8 Te 3.21-3.22
Ge 0.3750 0.6250 0.2500  8 Te 3.21-3.22
Ge 0.6250 0.3750 0.7500  8 Te 3.21-3.22
Ge 0.1250 0.8750 0.7500  8 Te 3.21-3.22
Ge 0.7500 0.8750 0.6250  8 Te 3.21-3.22
Ge 0.6250 0.2500 0.3750  8 Te 3.21-3.22
Ge 0.1250 0.2500 0.8750  8 Te 3.21-3.22
Ge 0.2500 0.6250 0.8750  8 Te 3.21-3.22
P 0.1250 0.3750 0.2500  4 Te 2.61
P 0.0000 0.5000 0.0000  6 Te 2.78
P 0.0000 0.0000 0.0000  6 Te 2.78
P 0.3750 0.2500 0.1250  4 Te 2.61
P 0.5000 0.0000 0.5000  6 Te 2.78
P 0.5000 0.5000 0.0000  6 Te 2.78
P 0.1250 0.7500 0.3750  4 Te 2.61
P 0.7500 0.1250 0.8750  4 Te 2.61
P 0.7500 0.6250 0.3750  4 Te 2.61
P 0.3750 0.1250 0.7500  4 Te 2.61
P 0.6250 0.8750 0.2500  4 Te 2.61
P 0.5000 0.5000 0.5000  6 Te 2.78
P 0.5000 0.0000 0.0000  6 Te 2.78
P 0.0000 0.0000 0.5000  6 Te 2.78
P 0.2500 0.3750 0.6250  4 Te 2.61
P 0.2500 0.8750 0.1250  4 Te 2.61
P 0.0000 0.5000 0.5000  6 Te 2.78
P 0.8750 0.2500 0.6250  4 Te 2.61
P 0.6250 0.7500 0.8750  4 Te 2.61
P 0.8750 0.6250 0.7500  4 Te 2.61
Te 0.7131 0.1265 0.0383  2 P 2.61-2.78
Te 0.3252 0.5383 0.4118  2 P 2.61-2.78
Te 0.9617 0.3735 0.2869  2 P 2.61-2.78
Te 0.5383 0.2131 0.1265  2 P 2.61-2.78
Te 0.5866 0.7131 0.6748  2 P 2.61-2.78
Te 0.9617 0.5882 0.1748  2 P 2.61-2.78
Te 0.3252 0.7869 0.4134  2 P 2.61-2.78
Te 0.0882 0.9134 0.1265  2 P 2.61-2.78
Te 0.5882 0.9617 0.6748  2 P 2.61-2.78
Te 0.7131 0.5866 0.1748  2 P 2.61-2.78
Te 0.7869 0.4617 0.3735  2 P 2.61-2.78
Te 0.8252 0.9118 0.0383  2 P 2.61-2.78
Te 0.1265 0.7131 0.5383  2 P 2.61-2.78
Te 0.3735 0.4118 0.0866  2 P 2.61-2.78
Te 0.0866 0.9118 0.3735  2 P 2.61-2.78
Te 0.4134 0.1265 0.5882  2 P 2.61-2.78
Te 0.0866 0.1748 0.2131  2 P 2.61-2.78
Te 0.4617 0.6748 0.0882  2 P 2.61-2.78
Te 0.8252 0.9134 0.2869  2 P 2.61-2.78
Te 0.1265 0.4134 0.0882  2 P 2.61-2.78
Te 0.3735 0.9617 0.7869  2 P 2.61-2.78
Te 0.5882 0.6265 0.4134  2 P 2.61-2.78
Te 0.9118 0.8252 0.5383  2 P 2.61-2.78
Te 0.7869 0.3252 0.9134  2 P 2.61-2.78
Te 0.4118 0.3735 0.5866  2 P 2.61-2.78
Te 0.0882 0.1748 0.4617  2 P 2.61-2.78
Te 0.2131 0.6748 0.0866  2 P 2.61-2.78
Te 0.1748 0.0866 0.7131  2 P 2.61-2.78
Te 0.6265 0.0383 0.2131  2 P 2.61-2.78
Te 0.8735 0.5866 0.9118  2 P 2.61-2.78
Te 0.5383 0.3252 0.9118  2 P 2.61-2.78
Te 0.5866 0.8735 0.4118  2 P 2.61-2.78
Te 0.9134 0.8252 0.7869  2 P 2.61-2.78
Te 0.9134 0.0882 0.6265  2 P 2.61-2.78
Te 0.8735 0.2869 0.4617  2 P 2.61-2.78
Te 0.1748 0.0882 0.9617  2 P 2.61-2.78
Te 0.6265 0.5882 0.9134  2 P 2.61-2.78
Te 0.4118 0.0383 0.3252  2 P 2.61-2.78
Te 0.2869 0.4134 0.8252  2 P 2.61-2.78
Te 0.2131 0.5383 0.6265  2 P 2.61-2.78
Te 0.9118 0.0866 0.8735  2 P 2.61-2.78
Te 0.6748 0.2131 0.5866  2 P 2.61-2.78
Te 0.4617 0.7869 0.8735  2 P 2.61-2.78
Te 0.0383 0.4118 0.8252  2 P 2.61-2.78
Te 0.4134 0.2869 0.3252  2 P 2.61-2.78
Te 0.0383 0.6265 0.7131  2 P 2.61-2.78
Te 0.6748 0.4617 0.5882  2 P 2.61-2.78
Te 0.2869 0.8735 0.9617  2 P 2.61-2.78

Calculated values
Uncorrected energy (Ry/atom): -0.2703
Raw formation energy (meV/atom): 253

4.
Computed, not measured: a relaxed Ge2TeP crystal at the PBE level of DFT.

Unit cell a=3.8036 b=3.8036 c=7.8648 alpha=76.01 beta=76.01 gamma=60.00
With the nearest neighbours (Å) after each atom.
Element x y z (fractional)
Ge 0.0784 0.0784 0.7649  3 Te 2.75, 3 P 2.91
Ge 0.2760 0.2760 0.1719  3 P 2.49
Te 0.4848 0.4848 0.5456  3 Ge 2.75
P 0.6608 0.6608 0.0176  3 Ge 2.49

Calculated values
Uncorrected energy (Ry/atom): -0.3209
Raw formation energy (meV/atom): 80
Energy relative to the lowest polymorph listed for this composition (meV/atom): 0

5.
Computed, not measured: a relaxed Ge2TeP crystal at the PBE level of DFT.

Unit cell a=4.9031 b=4.9031 c=4.9031 alpha=60.00 beta=60.00 gamma=60.00
With the nearest neighbours (Å) after each atom.
Element x y z (fractional)
P 0.0000 0.0000 0.0000  8 Ge 3.00
Ge 0.2500 0.2500 0.2500  4 Te 3.00, 4 P 3.00
Ge 0.7500 0.7500 0.7500  4 P 3.00, 4 Te 3.00
Te 0.5000 0.5000 0.5000  8 Ge 3.00

Calculated values
Uncorrected energy (Ry/atom): -0.2916
Raw formation energy (meV/atom): 479
Energy relative to the lowest polymorph listed for this composition (meV/atom): 399

6.
Computed, not measured: a relaxed Th6GeTe3P2 crystal at the PBE level of DFT.

Unit cell a=4.2758 b=8.8266 c=9.8437 alpha=106.35 beta=102.54 gamma=90.00
With the nearest neighbours (Å) after each atom.
Element x y z (fractional)
Th 0.3382 0.8854 0.6765  2 P 2.88, 1 Ge 2.98
Th 0.6756 0.5598 0.3511  3 P 2.86-2.88
Th 0.6618 0.1146 0.3235  2 P 2.88, 1 Ge 2.98
Th 0.0134 0.2375 0.0268  1 P 2.86, 2 Ge 2.95
Th 0.9866 0.7625 0.9732  1 P 2.86, 2 Ge 2.95
Th 0.3244 0.4402 0.6489  3 P 2.86-2.88
Ge 0.5000 0.0000 0.0000  6 Th 2.95-2.98
Te 0.5000 0.5000 0.0000  6 Th 3.22-3.26
Te 0.8363 0.1655 0.6726  6 Th 3.25-3.29
Te 0.1637 0.8345 0.3274  6 Th 3.25-3.29
P 0.8310 0.6629 0.6620  6 Th 2.86-2.88
P 0.1690 0.3371 0.3380  6 Th 2.86-2.88

Calculated values
Uncorrected energy (Ry/atom): -0.5163
Raw formation energy (meV/atom): -1242